DFT (PBE-GGA) results for a geometry-optimized VH3S structure.

Computed properties:
The distance to the lowest polymorph of the same formula comes out at 0.0000 eV per atom. Its density of states at the Fermi level is 2.43 states/eV/cell. Its space group is Pm-3m.

a b c (Å): 3.4490 3.4490 3.4490
angles (deg): 90.00 90.00 90.00
Closest atoms and distances in Å follow each position.
Atoms (fractional coordinates):
H: 0.0000 0.5000 0.0000  2 V 1.72
H: 0.0000 0.0000 0.5000  2 V 1.72
H: 0.5000 0.0000 0.0000  2 V 1.72
S: 0.5000 0.5000 0.5000  12 H 2.44
V: 0.0000 0.0000 0.0000  6 H 1.72


DFT (PBE-GGA) results for a geometry-optimized VH3S structure.

Computed properties:
The distance to the lowest polymorph of the same formula comes out at 0.5472 eV per atom. Its density of states at the Fermi level is 2.18 states/eV/cell. Its space group is Pm-3m.

a b c (Å): 3.3426 3.3426 3.3426
angles (deg): 90.00 90.00 90.00
Closest atoms and distances in Å follow each position.
Atoms (fractional coordinates):
H: 0.0000 0.5000 0.0000  2 S 1.67
H: 0.0000 0.0000 0.5000  2 S 1.67
H: 0.5000 0.0000 0.0000  2 S 1.67
S: 0.0000 0.0000 0.0000  6 H 1.67
V: 0.5000 0.5000 0.5000  12 H 2.36


DFT (PBE-GGA) results for a geometry-optimized Zr2VHS structure.

Computed properties:
The calculation puts the total DFT energy (no corrections) at -7.06 eV per atom. Its density of states at the Fermi level is 4.32 states/eV/cell. Its space group is P4/mmm.

a b c (Å): 4.5650 3.4586 4.5650
angles (deg): 90.00 90.00 90.00
Closest atoms and distances in Å follow each position.
Atoms (fractional coordinates):
H: 0.0000 0.0000 0.0000  2 V 1.73
S: 0.5000 0.5000 0.5000  8 Zr 2.86
Zr: 0.0000 0.0000 0.5000  2 H 2.28
Zr: 0.5000 0.0000 0.0000  2 H 2.28
V: 0.0000 0.5000 0.0000  2 H 1.73


DFT (PBE-GGA) results for a geometry-optimized H2WS structure.

Computed properties:
The distance to the lowest polymorph of the same formula comes out at 0.9182 eV per atom. Its density of states at the Fermi level is 1.28 states/eV/cell. Its space group is R-3m.

a b c (Å): 2.7986 2.7986 8.4538
angles (deg): 80.47 80.47 60.00
Closest atoms and distances in Å follow each position.
Atoms (fractional coordinates):
H: 0.1419 0.1419 0.5744  3 S 1.73
H: 0.8581 0.8581 0.4256  3 S 1.73
S: 0.5000 0.5000 0.5000  6 H 1.73
W: 0.0000 0.0000 0.0000  6 W 2.80


| no. | total magnetic moment (μB per cell) |
| --- | --- |
| 1 | 0.64 |
| 2 | 0.00 |
| 3 | 0.00 |
| 4 | 0.00 |